## DyYLuHg (PBE)

Data for crystalline DyYLuHg at its relaxed geometry.

Calculated values
Fermi-level density of states ... 21.32 states/eV per cell
ΔH_f (0 K) ... -0.066 eV per atom
Total magnetic moment ... 1.491 Bohr magnetons per cell

Geometry as CIF:
```
data_DyYLuHg
_chemical_formula_sum 'Dy4 Y4 Lu4 Hg4'
_space_group_name_H-M_alt 'F -4 3 m'
_space_group_IT_number 216
_space_group_name_Hall 'F -4 2 3'
_cell_length_a 7.607
_cell_length_b 7.607
_cell_length_c 7.607
_cell_angle_alpha 90.00
_cell_angle_beta 90.00
_cell_angle_gamma 90.00
loop_
_atom_site_label
_atom_site_fract_x
_atom_site_fract_y
_atom_site_fract_z
Dy1 0.000 0.000 0.000
Y1 0.000 0.000 0.500
Lu1 0.250 0.250 0.750
Hg1 0.250 0.250 0.250
```